Compound: MgBeRh2
Source: Alexandria via LeMat-Bulk
Functional: PBE
Structure: relaxed

```
4
Lattice="4.6609 -1.4233 0.0000 4.6609 1.4233 0.0000 -1.5760 0.0000 4.0075" Properties=species:S:1:pos:R:3 pbc="T T T"
Mg 0.0000 0.0000 0.0000
Be 6.5080 0.0000 1.5409
Rh 0.9027 0.0000 3.4564
Rh 3.8314 0.0000 1.9324
```

## Properties
size of the total moment: 0.000 μB/atom
space group: Cm (8)
crystal system: monoclinic
energy of formation from the pure elements: -0.32 eV per atom
density of states at the Fermi level: 1.62 states/eV per cell
distance to the lowest polymorph of the same formula: 0.1686 eV/atom

***

Compound: BeNi2Se
Source: Alexandria via LeMat-Bulk
Functional: PBE
Structure: relaxed

```
8
Lattice="-1.8118 1.8118 7.6968 1.8118 -1.8118 7.6968 1.8118 1.8118 -7.6968" Properties=species:S:1:pos:R:3 pbc="T T T"
Be 0.0000 0.0000 0.0000
Be 0.0000 1.8118 3.8484
Ni 2.7177 0.8772 -1.9242
Ni 0.8772 0.9059 1.9242
Ni -0.9059 0.9347 5.7726
Ni 0.9347 0.9059 9.6210
Se 1.8118 0.0000 3.8484
Se 0.0000 0.0000 7.6968
```

## Properties
raw formation energy: 0.0464 eV per atom
size of the total moment: 0.000 μB/atom
space group: I-42d (122)
crystal system: tetragonal
density of states at the Fermi level: 3.04 states/eV per cell
distance to the lowest polymorph of the same formula: 0.0939 eV/atom